[1]
Compound: ZrNbAlCu
Source: the Open Quantum Materials Database
Functional: PBE
Structure: optimized geometry

Cell: 4.5963 4.5963 4.5963 Å, 60.00 60.00 60.00°
With the nearest neighbours (Å) after each atom.
Positions (direct):
1 Zr 0.0000 0.0000 0.0000  4 Cu 2.81, 4 Nb 2.81
2 Nb 0.2500 0.2500 0.2500  4 Al 2.81, 4 Zr 2.81
3 Al 0.5000 0.5000 0.5000  4 Nb 2.81, 4 Cu 2.81
4 Cu 0.7500 0.7500 0.7500  4 Al 2.81, 4 Zr 2.81

## Properties
For the total energy, the calculation gives -6.3717 eV per atom. The calculation puts the relative energy among the computed polymorphs at 0.0 meV/atom.

---

[2]
Compound: CsLuFeSe3
Source: the Open Quantum Materials Database
Functional: PBE
Structure: optimized geometry

Cell: 10.6578 4.1752 15.1490 Å, 90.00 90.00 90.00°
With the nearest neighbours (Å) after each atom.
Positions (direct):
1 Cs 0.0339 0.2500 0.1619  8 Se 3.57-3.70
2 Cs 0.4661 0.7500 0.6619  8 Se 3.57-3.70
3 Cs 0.5339 0.2500 0.3381  8 Se 3.57-3.70
4 Cs 0.9661 0.7500 0.8381  8 Se 3.57-3.70
5 Lu 0.1520 0.7500 0.4341  6 Se 2.69-2.94
6 Lu 0.3480 0.2500 0.9341  6 Se 2.69-2.94
7 Lu 0.6520 0.7500 0.0659  6 Se 2.69-2.94
8 Lu 0.8480 0.2500 0.5659  6 Se 2.69-2.94
9 Fe 0.1492 0.2500 0.6323  4 Se 2.36-2.50
10 Fe 0.3508 0.7500 0.1323  4 Se 2.36-2.50
11 Fe 0.6492 0.2500 0.8677  4 Se 2.36-2.50
12 Fe 0.8508 0.7500 0.3677  4 Se 2.36-2.50
13 Se 0.0263 0.7500 0.6066  2 Fe 2.50
14 Se 0.2081 0.7500 0.0077  1 Fe 2.42
15 Se 0.2309 0.2500 0.7771  1 Fe 2.36
16 Se 0.2691 0.7500 0.2771  1 Fe 2.36
17 Se 0.2919 0.2500 0.5077  1 Fe 2.42
18 Se 0.4737 0.2500 0.1066  2 Fe 2.50
19 Se 0.5263 0.7500 0.8934  2 Fe 2.50
20 Se 0.7081 0.7500 0.4923  1 Fe 2.42
21 Se 0.7309 0.2500 0.7229  1 Fe 2.36
22 Se 0.7691 0.7500 0.2229  1 Fe 2.36
23 Se 0.7919 0.2500 0.9923  1 Fe 2.42
24 Se 0.9737 0.2500 0.3934  2 Fe 2.50

## Properties
For the total energy, the calculation gives -5.1379 eV per atom. The calculation puts the relative energy among the computed polymorphs at 104.0 meV/atom.

---

[3]
Compound: NbFeGePt
Source: the Open Quantum Materials Database
Functional: PBE
Structure: optimized geometry

Cell: 4.4284 4.4284 4.4284 Å, 60.00 60.00 60.00°
With the nearest neighbours (Å) after each atom.
Positions (direct):
1 Nb 0.0000 0.0000 0.0000  4 Ge 2.71, 4 Pt 2.71
2 Fe 0.5000 0.5000 0.5000  4 Ge 2.71, 4 Pt 2.71
3 Ge 0.2500 0.2500 0.2500  4 Nb 2.71, 4 Fe 2.71
4 Pt 0.7500 0.7500 0.7500  4 Nb 2.71, 4 Fe 2.71

## Properties
For the total energy, the calculation gives -7.4282 eV per atom. The calculation puts the relative energy among the computed polymorphs at 0.0 meV/atom.